ThMgSn2 after structural relaxation, computed with PBE-GGA.

Space-group type: No. 123
Formation enthalpy at 0 K, eV/atom: -0.304
ρ, Mg/m³: 7.83
Energy, eV for the cell shown: -18.24

Cell lengths 3.8543, 3.8543, 7.0456 Å; angles 90.00, 90.00, 90.00 degrees
Last column: nearest neighbours and their distance in Å.
Atoms (fractional coordinates):
1 Sn 0.0000 0.0000 0.2161  1 Sn 3.05, 4 Mg 3.12, 4 Th 3.38
2 Sn 0.0000 0.0000 0.7839  1 Sn 3.05, 4 Mg 3.12, 4 Th 3.38
3 Th 0.5000 0.5000 0.5000  8 Sn 3.38, 2 Mg 3.52
4 Mg 0.5000 0.5000 0.0000  8 Sn 3.12